Record 1
The following is a PBE calculation of TiV after structural relaxation, from the Alexandria database.

Unit cell a=9.315 b=9.315 c=2.646 alpha=90.00 beta=90.00 gamma=120.00
Fractional coordinates of all 12 atoms:
Ti1 0.063 0.304 0.250
Ti2 0.241 0.937 0.250
Ti3 0.304 0.241 0.750
Ti4 0.696 0.759 0.250
Ti5 0.759 0.063 0.750
Ti6 0.937 0.696 0.750
V1 0.148 0.620 0.250
V2 0.380 0.528 0.250
V3 0.472 0.852 0.250
V4 0.528 0.148 0.750
V5 0.620 0.472 0.750
V6 0.852 0.380 0.750

The value obtained for the formation energy is 0.44 eV/atom. The value obtained for the theoretical density is 4.952 g/cm³. The total energy is -96.77 eV/cell.

Record 2
The following is a PBE calculation of CaCr2Pt after structural relaxation, from the Alexandria database.

Unit cell a=5.414 b=5.414 c=2.697 alpha=99.40 beta=99.40 gamma=121.63
Fractional coordinates of all 4 atoms:
Ca1 0.000 0.000 0.000
Cr1 0.000 0.500 0.500
Cr2 0.500 0.000 0.500
Pt1 0.500 0.500 0.000

The value obtained for the formation energy is 0.54 eV/atom. The value obtained for the theoretical density is 8.879 g/cm³. The total energy is -25.13 eV/cell.

Record 3
The following is a PBE calculation of RbZnCuSn2 after structural relaxation, from the Alexandria database.

Unit cell a=5.206 b=5.206 c=6.228 alpha=90.00 beta=90.00 gamma=90.00
Fractional coordinates of all 5 atoms:
Rb1 0.000 0.000 0.000
Zn1 0.000 0.000 0.500
Cu1 0.500 0.500 0.000
Sn1 0.000 0.500 0.500
Sn2 0.500 0.000 0.500

The value obtained for the formation energy is 0.61 eV/atom. The value obtained for the theoretical density is 4.446 g/cm³. The total energy is -11.31 eV/cell.

Record 4
The following is a PBE calculation of CrB after structural relaxation, from the Alexandria database.

Unit cell a=4.686 b=4.686 c=4.686 alpha=101.16 beta=101.16 gamma=127.80
Fractional coordinates of all 8 atoms:
Cr1 0.080 0.314 0.394
Cr2 0.314 0.920 0.233
Cr3 0.686 0.080 0.767
Cr4 0.920 0.686 0.606
B1 0.304 0.573 0.877
B2 0.427 0.304 0.731
B3 0.573 0.696 0.269
B4 0.696 0.427 0.123

The value obtained for the formation energy is 0.03 eV/atom. The value obtained for the theoretical density is 5.713 g/cm³. The total energy is -64.95 eV/cell.

Record 5
The following is a PBE calculation of MnPb4Br after structural relaxation, from the Alexandria database.

Unit cell a=6.451 b=6.451 c=6.451 alpha=60.00 beta=60.00 gamma=60.00
Fractional coordinates of all 6 atoms:
Mn1 0.000 0.000 0.000
Pb1 0.122 0.626 0.626
Pb2 0.626 0.122 0.626
Pb3 0.626 0.626 0.122
Pb4 0.626 0.626 0.626
Br1 0.250 0.250 0.250

The value obtained for the theoretical density is 8.427 g/cm³. As for the formation energy from raw total energies: 8.6 kcal/mol of atoms. The total energy is -23.43 eV/cell.

Record 6
The following is a PBE calculation of MgMn3I9 after structural relaxation, from the Alexandria database.

Unit cell a=11.233 b=11.233 c=14.360 alpha=123.07 beta=123.07 gamma=53.96
Fractional coordinates of all 26 atoms:
Mg1 0.220 0.780 0.500
Mg2 0.780 0.220 0.000
Mn1 0.205 0.320 0.775
Mn2 0.320 0.205 0.275
Mn3 0.561 0.704 0.324
Mn4 0.704 0.561 0.824
Mn5 0.744 0.977 0.170
Mn6 0.977 0.744 0.670
I1 0.012 0.486 0.903
I2 0.075 0.911 0.675
I3 0.107 0.156 0.064
I4 0.156 0.107 0.564
I5 0.218 0.476 0.435
I6 0.240 0.532 0.765
I7 0.323 0.687 0.306
I8 0.476 0.218 0.935
I9 0.486 0.012 0.403
I10 0.532 0.240 0.265
I11 0.552 0.644 0.634
I12 0.567 0.828 0.980
I13 0.644 0.552 0.134
I14 0.687 0.323 0.806
I15 0.811 0.912 0.811
I16 0.828 0.567 0.480
I17 0.911 0.075 0.175
I18 0.912 0.811 0.311

The value obtained for the theoretical density is 3.817 g/cm³. As for the formation energy from raw total energies: -10.6 kcal/mol of atoms. The total energy is -98.06 eV/cell.

Record 7
The following is a PBE calculation of LiDyTmPd after structural relaxation, from the Alexandria database.

Unit cell a=4.991 b=4.991 c=4.991 alpha=60.00 beta=60.00 gamma=60.00
Fractional coordinates of all 4 atoms:
Li1 0.000 0.000 0.000
Dy1 0.250 0.250 0.250
Tm1 0.750 0.750 0.750
Pd1 0.500 0.500 0.500

The value obtained for the formation energy is -0.43 eV/atom. The value obtained for the theoretical density is 8.400 g/cm³. The total energy is -17.90 eV/cell.

Record 8
The following is a PBE calculation of Pr3Sm2Ho2 after structural relaxation, from the Alexandria database.

Unit cell a=9.078 b=9.078 c=8.662 alpha=118.13 beta=118.13 gamma=22.57
Fractional coordinates of all 7 atoms:
Pr1 0.000 0.000 0.000
Pr2 0.214 0.214 0.296
Pr3 0.786 0.786 0.704
Sm1 0.436 0.436 0.589
Sm2 0.564 0.564 0.411
Ho1 0.145 0.145 0.828
Ho2 0.855 0.855 0.172

For the energy above the most stable polymorph in this dataset, the calculation gives 96.3 meV/atom. The value obtained for the formation energy is 0.11 eV/atom. The value obtained for the theoretical density is 7.282 g/cm³. The total energy is -32.14 eV/cell.

Record 9
The following is a PBE calculation of CaMg2Re after structural relaxation, from the Alexandria database.

Unit cell a=2.996 b=5.220 c=5.291 alpha=90.00 beta=90.00 gamma=90.00
Fractional coordinates of all 4 atoms:
Ca1 0.000 0.000 0.000
Mg1 0.000 0.500 0.500
Mg2 0.500 0.000 0.500
Re1 0.500 0.500 0.000

For the energy above the most stable polymorph in this dataset, the calculation gives 200.4 meV/atom. The value obtained for the formation energy is 0.61 eV/atom. The value obtained for the theoretical density is 5.517 g/cm³. The total energy is -15.20 eV/cell.

Record 10
The following is a PBE calculation of CoSiAg3 after structural relaxation, from the Alexandria database.

Unit cell a=4.772 b=4.772 c=4.772 alpha=90.00 beta=90.00 gamma=90.00
Fractional coordinates of all 5 atoms:
Co1 0.000 0.000 0.000
Si1 0.500 0.500 0.500
Ag1 0.000 0.000 0.500
Ag2 0.000 0.500 0.000
Ag3 0.500 0.000 0.000

For the energy above the most stable polymorph in this dataset, the calculation gives 251.9 meV/atom. The value obtained for the theoretical density is 6.274 g/cm³. As for the formation energy from raw total energies: 26.7 kcal/mol of atoms. The total energy is -15.30 eV/cell.

Record 11
The following is a PBE calculation of Hf2Al4Pd after structural relaxation, from the Alexandria database.

Unit cell a=5.216 b=5.290 c=5.349 alpha=75.46 beta=84.80 gamma=62.73
Fractional coordinates of all 7 atoms:
Hf1 0.005 0.418 0.269
Hf2 0.995 0.582 0.731
Al1 0.000 0.000 0.000
Al2 0.410 0.788 0.470
Al3 0.500 0.500 0.000
Al4 0.590 0.212 0.530
Pd1 0.500 0.000 0.000

For the energy above the most stable polymorph in this dataset, the calculation gives 10.4 meV/atom. The value obtained for the formation energy is -0.29 eV/atom. The value obtained for the theoretical density is 7.473 g/cm³. The total energy is -42.09 eV/cell.

Record 12
The following is a PBE calculation of Gd2TiIn after structural relaxation, from the Alexandria database.

Unit cell a=4.836 b=4.836 c=4.438 alpha=90.00 beta=90.00 gamma=90.00
Fractional coordinates of all 4 atoms:
Gd1 0.000 0.500 0.000
Gd2 0.500 0.000 0.000
Ti1 0.000 0.000 0.500
In1 0.500 0.500 0.500

For the energy above the most stable polymorph in this dataset, the calculation gives 0.0 meV/atom. The value obtained for the formation energy is -0.11 eV/atom. The value obtained for the theoretical density is 7.635 g/cm³. The total energy is -39.22 eV/cell.

Record 13
The following is a PBE calculation of KLa2H after structural relaxation, from the Alexandria database.

Unit cell a=10.952 b=10.952 c=10.952 alpha=19.84 beta=19.84 gamma=19.84
Fractional coordinates of all 4 atoms:
K1 0.000 0.000 0.000
La1 0.121 0.121 0.121
La2 0.879 0.879 0.879
H1 0.500 0.500 0.500

For the energy above the most stable polymorph in this dataset, the calculation gives 0.0 meV/atom. The value obtained for the theoretical density is 3.987 g/cm³. The total energy is -14.34 eV/cell.

Record 14
The following is a PBE calculation of CeS after structural relaxation, from the Alexandria database.

Unit cell a=3.497 b=3.497 c=3.497 alpha=90.00 beta=90.00 gamma=90.00
Fractional coordinates of all 2 atoms:
Ce1 0.000 0.000 0.000
S1 0.500 0.500 0.500

The value obtained for the theoretical density is 6.685 g/cm³. As for the formation energy from raw total energies: -38.6 kcal/mol of atoms. The total energy is -13.41 eV/cell.

Record 15
The following is a PBE calculation of YTa2In after structural relaxation, from the Alexandria database.

Unit cell a=3.094 b=5.262 c=5.417 alpha=90.00 beta=94.63 gamma=90.00
Fractional coordinates of all 4 atoms:
Y1 0.000 0.000 0.000
Ta1 0.359 0.500 0.753
Ta2 0.641 0.500 0.247
In1 0.500 0.000 0.500

The value obtained for the formation energy is 0.29 eV/atom. The value obtained for the theoretical density is 10.683 g/cm³. The total energy is -31.75 eV/cell.

Record 16
The following is a PBE calculation of PrCu6Ge4 after structural relaxation, from the Alexandria database.

Unit cell a=7.010 b=7.010 c=4.056 alpha=90.00 beta=90.00 gamma=120.00
Fractional coordinates of all 11 atoms:
Pr1 0.000 0.000 0.000
Cu1 0.209 0.418 0.500
Cu2 0.209 0.791 0.500
Cu3 0.540 0.080 0.000
Cu4 0.540 0.460 0.000
Cu5 0.582 0.791 0.500
Cu6 0.920 0.460 0.000
Ge1 0.333 0.667 0.000
Ge2 0.390 0.195 0.500
Ge3 0.805 0.195 0.500
Ge4 0.805 0.610 0.500

The value obtained for the formation energy is -0.17 eV/atom. The value obtained for the theoretical density is 7.819 g/cm³. The total energy is -49.70 eV/cell.

Record 17
The following is a PBE calculation of LiNd2GaO after structural relaxation, from the Alexandria database.

Unit cell a=4.970 b=4.970 c=4.109 alpha=90.00 beta=90.00 gamma=90.00
Fractional coordinates of all 5 atoms:
Li1 0.000 0.000 0.000
Nd1 0.000 0.500 0.500
Nd2 0.500 0.000 0.500
Ga1 0.500 0.500 0.000
O1 0.000 0.000 0.500

The value obtained for the theoretical density is 6.235 g/cm³. As for the formation energy from raw total energies: -32.0 kcal/mol of atoms. The total energy is -26.37 eV/cell.

Record 18
The following is a PBE calculation of La2HoSb3Pd4 after structural relaxation, from the Alexandria database.

Unit cell a=4.544 b=4.544 c=11.520 alpha=90.00 beta=90.00 gamma=90.00
Fractional coordinates of all 10 atoms:
La1 0.000 0.500 0.215
La2 0.500 0.000 0.785
Ho1 0.000 0.000 0.500
Sb1 0.000 0.500 0.870
Sb2 0.500 0.000 0.130
Sb3 0.500 0.500 0.500
Pd1 0.000 0.000 0.000
Pd2 0.000 0.500 0.643
Pd3 0.500 0.000 0.357
Pd4 0.500 0.500 0.000

The value obtained for the theoretical density is 8.614 g/cm³. As for the formation energy from raw total energies: -22.2 kcal/mol of atoms. The total energy is -57.20 eV/cell.

Record 19
The following is a PBE calculation of LaHgW2 after structural relaxation, from the Alexandria database.

Unit cell a=10.861 b=10.861 c=10.861 alpha=15.71 beta=15.71 gamma=15.71
Fractional coordinates of all 4 atoms:
La1 0.000 0.000 0.000
Hg1 0.500 0.500 0.500
W1 0.242 0.242 0.242
W2 0.758 0.758 0.758

The value obtained for the formation energy is 1.00 eV/atom. The value obtained for the theoretical density is 14.347 g/cm³. The total energy is -27.13 eV/cell.

Record 20
The following is a PBE calculation of DyHo2Ru after structural relaxation, from the Alexandria database.

Unit cell a=6.240 b=6.240 c=9.063 alpha=90.00 beta=90.00 gamma=143.53
Fractional coordinates of all 8 atoms:
Dy1 0.076 0.924 0.750
Dy2 0.924 0.076 0.250
Ho1 0.357 0.643 0.567
Ho2 0.357 0.643 0.933
Ho3 0.643 0.357 0.067
Ho4 0.643 0.357 0.433
Ru1 0.257 0.743 0.250
Ru2 0.743 0.257 0.750

For the energy above the most stable polymorph in this dataset, the calculation gives 18.7 meV/atom. The value obtained for the formation energy is -0.32 eV/atom. The value obtained for the theoretical density is 9.397 g/cm³. The total energy is -48.61 eV/cell.

Record 21
The following is a PBE calculation of LaTm2Os after structural relaxation, from the Alexandria database.

Unit cell a=3.399 b=3.399 c=9.312 alpha=90.00 beta=90.00 gamma=90.00
Fractional coordinates of all 4 atoms:
La1 0.000 0.000 0.000
Tm1 0.500 0.500 0.327
Tm2 0.500 0.500 0.673
Os1 0.000 0.000 0.500

For the energy above the most stable polymorph in this dataset, the calculation gives 51.2 meV/atom. The value obtained for the formation energy is -0.19 eV/atom. The value obtained for the theoretical density is 10.296 g/cm³. The total energy is -25.88 eV/cell.

Record 22
The following is a PBE calculation of TbZn2Ir2 after structural relaxation, from the Alexandria database.

Unit cell a=11.685 b=11.685 c=11.685 alpha=160.45 beta=160.45 gamma=27.79
Fractional coordinates of all 10 atoms:
Tb1 0.129 0.129 0.000
Tb2 0.871 0.871 0.000
Zn1 0.000 0.500 0.500
Zn2 0.321 0.321 0.000
Zn3 0.500 0.000 0.500
Zn4 0.679 0.679 0.000
Ir1 0.250 0.750 0.500
Ir2 0.430 0.430 0.000
Ir3 0.570 0.570 0.000
Ir4 0.750 0.250 0.500

The value obtained for the formation energy is -0.44 eV/atom. The value obtained for the theoretical density is 12.534 g/cm³. The total energy is -54.18 eV/cell.